[1]
Computed, not measured: a relaxed structure of Na3InF8 at the PBE level of DFT.

## Properties
The formation energy without anion corrections is -2.169 eV/atom. The calculation puts the density of states at the Fermi level at 21.14 states/eV/cell.

Unit cell a=5.3501 b=5.3501 c=11.2632 alpha=90.00 beta=90.00 gamma=90.00
Closest atoms and distances in Å follow each position.
Space group I4/mmm (No. 139)
Asymmetric unit:
Na 0.0000 0.0000 0.0000  8 F 2.40
Na 0.0000 0.5000 0.2500  8 F 2.42
In 0.0000 0.0000 0.5000  8 F 2.21
F 0.2350 0.2350 0.3830  1 In 2.21, 3 Na 2.40-2.42

[2]
Computed, not measured: a relaxed structure of Na2InF3 at the PBE level of DFT.

## Properties
The formation energy without anion corrections is -2.295 eV/atom. The calculation puts the density of states at the Fermi level at 0.00 states/eV/cell.

Unit cell a=11.3732 b=5.1839 c=6.8443 alpha=90.00 beta=107.46 gamma=90.00
Closest atoms and distances in Å follow each position.
Space group C2/c (No. 15)
Asymmetric unit:
Na 0.1670 0.0006 0.0836  4 F 2.28-2.52
In 0.0000 0.4853 0.7500  1 F 2.34
F 0.0000 0.0636 0.2500  1 In 2.34, 4 Na 2.51-2.52
F 0.1946 0.4973 0.0974  2 Na 2.28

[3]
Computed, not measured: a relaxed structure of NaIn2F at the PBE level of DFT.

## Properties
For the excess energy over the best structure of this formula in the dataset, the calculation gives 72 kJ/mol of formula units. The formation energy without anion corrections is -0.514 eV/atom. The calculation puts the density of states at the Fermi level at 8.95 states/eV/cell.

Unit cell a=7.2398 b=7.2398 c=7.2398 alpha=90.00 beta=90.00 gamma=90.00
Closest atoms and distances in Å follow each position.
Space group Fm-3m (No. 225)
Asymmetric unit:
Na 0.0000 0.0000 0.0000  8 In 3.13
In 0.2500 0.2500 0.2500  4 F 3.13, 4 Na 3.13
F 0.0000 0.0000 0.5000  8 In 3.13

> formation energy without anion corrections of number 3 (NaIn2F)?

-0.514 eV/atom